The following is a PBE calculation of a relaxed structure of Y2Mg2Cd, from Alexandria via LeMat-Bulk.

## Properties
For the density of states at the Fermi level, the calculation gives 14.96 states/eV per cell. The calculation puts the excess energy over the best structure of this formula in the dataset at 5.29 kJ per mole of atoms. As for the space group: P4/mbm. The formation energy is -0.074 eV/atom. As for the total energy: -34.804 eV for the cell shown.

Lattice parameters (Å, degrees): 7.4411 7.4411 4.8596 90.00 90.00 90.00
Fractional coordinates of all 10 atoms:
Y  0.1687  0.3313  0.0000
Y  0.3313  0.8313  0.0000
Y  0.6687  0.1687  0.0000
Y  0.8313  0.6687  0.0000
Mg  0.1353  0.6353  0.5000
Mg  0.3647  0.1353  0.5000
Mg  0.6353  0.8647  0.5000
Mg  0.8647  0.3647  0.5000
Cd  0.0000  0.0000  0.5000
Cd  0.5000  0.5000  0.5000

The following is a PBE calculation of a relaxed structure of YMg3Cd, from Alexandria via LeMat-Bulk.

## Properties
For the density of states at the Fermi level, the calculation gives 10.24 states/eV per cell. The calculation puts the excess energy over the best structure of this formula in the dataset at 107.25 kJ per mole of atoms. As for the space group: Pm-3m. The formation energy is 0.993 eV/atom. As for the total energy: -7.197 eV for the cell shown.

Lattice parameters (Å, degrees): 6.0577 6.0577 6.0577 90.00 90.00 90.00
Fractional coordinates of all 5 atoms:
Y  0.0000  0.0000  0.0000
Mg  0.0000  0.0000  0.5000
Mg  0.0000  0.5000  0.0000
Mg  0.5000  0.0000  0.0000
Cd  0.5000  0.5000  0.5000